! Rb3Cd8Hg3 (PBE-GGA, optimized geometry); values from VASP
&SYSTEM
  ibrav = 0, nat = 14, ntyp = 3
/
ATOMIC_SPECIES
Cd 112.41 Cd.upf
Hg 200.59 Hg.upf
Rb 85.47 Rb.upf
CELL_PARAMETERS angstrom
5.1043 0.0000 1.3080
2.1028 9.0959 2.4077
0.2617 0.9382 9.5919
ATOMIC_POSITIONS angstrom
Cd 2.8729 4.0021 10.0157
Cd 3.9034 8.5683 5.9945
Cd 6.0525 7.9712 8.2214
Cd 3.5654 1.4658 7.3133
Cd 1.4163 2.0629 5.0863
Cd 1.9345 4.3589 3.0643
Cd 4.5959 6.0320 3.2920
Cd 5.5343 5.6752 10.2434
Hg 0.7050 2.9024 7.8621
Hg 1.6595 7.1317 4.1376
Hg 2.5522 0.0000 0.6540
Rb 2.8577 8.2279 10.0752
Rb 3.7344 5.0170 6.6539
Rb 4.6112 1.8061 3.2325
! - E_form (eV/atom) = -0.082
! - symmetry = Immm (71)
! - Fermi-level density of states (states/eV per atom) = 0.40
! - energy (eV/atom) = -0.88